(1)
Zn2SnHg2 (PBE, relaxed); space-group type = No. 127; formation energy = 0.1217 eV/atom; M_tot = 0.0 μB/f.u.
1.0
7.894 0.000 0.000
0.000 7.894 0.000
0.000 0.000 3.536
Zn Sn Hg
4 2 4
Direct
0.119 0.381 0.000
0.381 0.881 0.000
0.619 0.119 0.000
0.881 0.619 0.000
0.000 0.000 0.000
0.500 0.500 0.000
0.180 0.680 0.500
0.320 0.180 0.500
0.680 0.820 0.500
0.820 0.320 0.500

***

(2)
LiTmSe2O8 (PBE, relaxed); uncorrected formation energy = -1.474 eV/atom; space-group type = No. 82; M_tot = 0.0 μB/f.u.
1.0
-2.487 2.487 5.680
2.487 -2.487 5.680
2.487 2.487 -5.680
Li Tm Se O
1 1 2 8
Direct
0.000 0.000 0.000
0.250 0.750 0.500
0.500 0.500 0.000
0.750 0.250 0.500
0.278 0.668 0.106
0.332 0.438 0.611
0.425 0.027 0.104
0.562 0.173 0.894
0.679 0.575 0.602
0.827 0.722 0.389
0.923 0.321 0.896
0.973 0.077 0.398

***

(3)
Ac6RuPt2 (PBE, relaxed); space-group type = No. 14; formation energy = -0.6168 eV/atom; M_tot = 0.0 μB/f.u.
1.0
7.270 0.000 0.000
0.000 7.874 0.000
-6.258 0.000 11.048
Ac Ru Pt
12 2 4
Direct
0.078 0.055 0.245
0.078 0.445 0.745
0.253 0.684 0.082
0.253 0.816 0.582
0.385 0.183 0.066
0.385 0.317 0.566
0.615 0.683 0.434
0.615 0.817 0.934
0.747 0.184 0.418
0.747 0.316 0.918
0.922 0.555 0.255
0.922 0.945 0.755
0.000 0.000 0.000
0.000 0.500 0.500
0.333 0.113 0.781
0.333 0.387 0.281
0.667 0.613 0.719
0.667 0.887 0.219

***

(4)
La8Ru3SBr4 (PBE, relaxed); uncorrected formation energy = -1.125 eV/atom; space-group type = No. 166; M_tot = 0.0 μB/f.u.
1.0
4.205 2.428 7.845
-4.205 2.428 7.845
0.000 -4.855 7.845
La Ru S Br
8 3 1 4
Direct
0.218 0.738 0.738
0.235 0.235 0.235
0.262 0.262 0.782
0.262 0.782 0.262
0.738 0.218 0.738
0.738 0.738 0.218
0.765 0.765 0.765
0.782 0.262 0.262
0.000 0.000 0.500
0.000 0.500 0.000
0.500 0.000 0.000
0.500 0.500 0.500
0.000 0.000 0.000
0.000 0.500 0.500
0.500 0.000 0.500
0.500 0.500 0.000

***

(5)
TbHRu (PBE, relaxed); space-group type = No. 156; M_tot = 0.0 μB/f.u.
1.0
3.375 0.000 0.000
-1.687 2.922 0.000
0.000 0.000 4.400
Tb H Ru
1 1 1
Direct
0.000 0.000 0.000
0.667 0.333 0.499
0.333 0.667 0.500

***

(6)
UBiS (PBE, relaxed); uncorrected formation energy = -0.517 eV/atom; space-group type = No. 187; M_tot = 1.4 μB/f.u.
1.0
4.526 0.000 0.000
-2.263 3.920 0.000
0.000 0.000 4.321
U Bi S
1 1 1
Direct
0.000 0.000 0.000
0.333 0.667 0.500
0.667 0.333 0.000

***

(7)
YTlRh2 (PBE, relaxed); space-group type = No. 216; formation energy = -0.1262 eV/atom; M_tot = 0.0 μB/f.u.
1.0
0.000 3.388 3.388
3.388 0.000 3.388
3.388 3.388 0.000
Y Tl Rh
1 1 2
Direct
0.000 0.000 0.000
0.750 0.750 0.750
0.250 0.250 0.250
0.500 0.500 0.500

***

(8)
La5Nd2In4 (PBE, relaxed); space-group type = No. 10; formation energy = -0.3286 eV/atom; M_tot = 0.0 μB/f.u.
1.0
8.973 0.000 0.000
0.000 3.516 0.000
-0.979 0.000 10.938
La Nd In
5 2 4
Direct
0.000 0.000 0.000
0.046 0.000 0.337
0.345 0.000 0.860
0.655 0.000 0.140
0.954 0.000 0.663
0.423 0.000 0.363
0.577 0.000 0.637
0.254 0.500 0.578
0.300 0.500 0.124
0.700 0.500 0.876
0.746 0.500 0.422

***

(9)
Ca2HoCl (PBE, relaxed); uncorrected formation energy = -0.760 eV/atom; space-group type = No. 166; M_tot = 0.0 μB/f.u.
1.0
1.865 1.077 10.154
-1.865 1.077 10.154
0.000 -2.154 10.154
Ca Ho Cl
2 1 1
Direct
0.237 0.237 0.237
0.763 0.763 0.763
0.000 0.000 0.000
0.500 0.500 0.500

***

(10)
NiRh5W (PBE, relaxed); space-group type = No. 74; formation energy = 0.1700 eV/atom; M_tot = 0.0 μB/f.u.
1.0
-3.475 5.302 2.908
3.475 -5.302 2.908
3.475 5.302 -2.908
Ni Rh W
2 10 2
Direct
0.000 0.000 0.000
0.500 0.000 0.500
0.114 0.293 0.420
0.114 0.695 0.821
0.374 0.293 0.679
0.374 0.695 0.080
0.459 0.209 0.250
0.541 0.791 0.750
0.626 0.305 0.920
0.626 0.707 0.321
0.886 0.305 0.179
0.886 0.707 0.580
0.042 0.792 0.250
0.958 0.208 0.750

***

(11)
NaCd6Ag (PBE, relaxed); space-group type = No. 166; formation energy = -0.0210 eV/atom; M_tot = 0.0 μB/f.u.
1.0
2.464 1.423 8.445
-2.464 1.423 8.445
0.000 -2.845 8.445
Na Cd Ag
1 6 1
Direct
0.000 0.000 0.000
0.130 0.130 0.130
0.254 0.254 0.254
0.383 0.383 0.383
0.617 0.617 0.617
0.746 0.746 0.746
0.870 0.870 0.870
0.500 0.500 0.500

***

(12)
MgCo3Ge3 (PBE, relaxed); space-group type = No. 176; formation energy = -0.0614 eV/atom; M_tot = 0.0 μB/f.u.
1.0
8.384 0.000 0.000
-4.192 7.261 0.000
0.000 0.000 3.789
Mg Co Ge
2 6 6
Direct
0.333 0.667 0.250
0.667 0.333 0.750
0.057 0.441 0.750
0.384 0.943 0.750
0.441 0.384 0.250
0.559 0.616 0.750
0.616 0.057 0.250
0.943 0.559 0.250
0.075 0.734 0.750
0.266 0.341 0.750
0.341 0.075 0.250
0.659 0.925 0.750
0.734 0.659 0.250
0.925 0.266 0.250

***

(13)
PuAl2BiO8 (PBE, relaxed); uncorrected formation energy = -2.188 eV/atom; space-group type = No. 65; M_tot = 1.8 μB/f.u.
1.0
3.326 -3.340 0.000
3.326 3.340 0.000
0.000 0.000 6.515
Pu Al Bi O
1 2 1 8
Direct
0.000 0.000 0.000
0.500 0.500 0.252
0.500 0.500 0.748
0.000 0.000 0.500
0.216 0.216 0.228
0.216 0.216 0.772
0.311 0.689 0.000
0.332 0.668 0.500
0.668 0.332 0.500
0.689 0.311 0.000
0.784 0.784 0.228
0.784 0.784 0.772

***

(14)
CeZr2Be (PBE, relaxed); space-group type = No. 123; formation energy = 0.0438 eV/atom; M_tot = 0.3 μB/f.u.
1.0
3.119 0.000 0.000
0.000 3.119 0.000
0.000 0.000 8.446
Ce Zr Be
1 2 1
Direct
0.000 0.000 0.000
0.500 0.500 0.305
0.500 0.500 0.695
0.000 0.000 0.500

***

(15)
Pm6Ni2RhBr3 (PBE, relaxed); uncorrected formation energy = -0.900 eV/atom; space-group type = No. 12; M_tot = 0.0 μB/f.u.
1.0
9.702 -2.034 0.000
9.702 2.034 0.000
-3.335 0.000 8.411
Pm Ni Rh Br
6 2 1 3
Direct
0.014 0.014 0.223
0.322 0.322 0.445
0.344 0.344 0.877
0.656 0.656 0.123
0.678 0.678 0.555
0.986 0.986 0.777
0.169 0.169 0.341
0.831 0.831 0.659
0.500 0.500 0.000
0.167 0.167 0.832
0.500 0.500 0.500
0.833 0.833 0.168

***

(16)
MgBIrPt2 (PBE, relaxed); space-group type = No. 123; formation energy = -0.4426 eV/atom; M_tot = 0.0 μB/f.u.
1.0
4.214 0.000 0.000
0.000 4.214 0.000
0.000 0.000 4.114
Mg B Ir Pt
1 1 1 2
Direct
0.000 0.000 0.000
0.500 0.500 0.500
0.500 0.500 0.000
0.000 0.500 0.500
0.500 0.000 0.500

***

(17)
LiAlAg14 (PBE, relaxed); space-group type = No. 38; formation energy = -0.0264 eV/atom; M_tot = 0.0 μB/f.u.
1.0
9.460 0.000 0.000
0.000 2.954 5.017
0.000 -2.954 5.017
Li Al Ag
1 1 14
Direct
0.000 0.000 0.000
0.000 0.501 0.501
0.000 0.001 0.502
0.000 0.502 0.001
0.242 0.328 0.828
0.242 0.828 0.328
0.246 0.331 0.331
0.251 0.830 0.830
0.500 0.160 0.160
0.500 0.163 0.661
0.500 0.660 0.660
0.500 0.661 0.163
0.749 0.830 0.830
0.754 0.331 0.331
0.758 0.328 0.828
0.758 0.828 0.328

***

(18)
CePrIn (PBE, relaxed); space-group type = No. 187; formation energy = -0.1328 eV/atom; M_tot = 0.8 μB/f.u.
1.0
5.417 0.000 0.000
-2.709 4.691 0.000
0.000 0.000 3.275
Ce Pr In
1 1 1
Direct
0.000 0.000 0.000
0.333 0.667 0.000
0.667 0.333 0.500

***

(19)
Pu2PaPd (PBE, relaxed); space-group type = No. 225; formation energy = -0.0643 eV/atom; M_tot = 12.8 μB/f.u.
1.0
0.000 3.535 3.535
3.535 0.000 3.535
3.535 3.535 0.000
Pu Pa Pd
2 1 1
Direct
0.250 0.250 0.250
0.750 0.750 0.750
0.000 0.000 0.000
0.500 0.500 0.500

***

(20)
Ca2Zn4Ge3Pd (PBE, relaxed); space-group type = No. 115; formation energy = -0.3984 eV/atom; M_tot = 0.0 μB/f.u.
1.0
4.203 0.000 0.000
0.000 4.203 0.000
0.000 0.000 10.879
Ca Zn Ge Pd
2 4 3 1
Direct
0.000 0.500 0.248
0.500 0.000 0.752
0.000 0.000 0.500
0.000 0.500 0.865
0.500 0.000 0.135
0.500 0.500 0.500
0.000 0.000 0.000
0.000 0.500 0.639
0.500 0.000 0.361
0.500 0.500 0.000

***

no.,DFT total energy (eV per formula unit)
1,-6.55
2,-70.71
3,-51.56
4,-96.07
5,-17.53
6,-20.85
7,-24.04
8,-48.74
9,-13.47
10,-54.30
11,-9.83
12,-37.19
13,-91.62
14,-26.58
15,-63.24
16,-31.43
17,-46.00
18,-13.85
19,-43.61
20,-32.13